(1)
PrEr4PbS8 | Alexandria via LeMat-Bulk | PBE-GGA | relaxed; uncorrected energy = -6.02 eV/atom
1.0
8.0697 0.0000 0.0000
4.0349 6.9886 0.0000
4.0349 2.3295 6.8033
Pr Er Pb S
1 4 1 8
direct
0.0021 0.0021 0.9938
0.6262 0.6262 0.1214
0.0014 0.4951 0.5022
0.4951 0.0014 0.5022
0.0014 0.0014 0.5022
0.3725 0.3725 0.8826
0.2456 0.7870 0.7219
0.7870 0.2456 0.7219
0.2456 0.2456 0.7219
0.2336 0.2336 0.2992
0.7503 0.2314 0.2681
0.2314 0.7503 0.2681
0.7503 0.7503 0.2681
0.7578 0.7578 0.7265

(2)
Pr3Sm2Er6Pb | Alexandria via LeMat-Bulk | PBE-GGA | relaxed; uncorrected energy = -4.63 eV/atom
1.0
6.1546 0.0003 0.0071
-3.0755 5.3310 0.0071
-1.0431 -1.8062 11.5586
Pr Sm Er Pb
3 2 6 1
direct
0.1677 0.8323 0.5000
0.8323 0.1677 0.5000
0.5000 0.5000 0.5000
0.3338 0.6662 0.0000
0.6662 0.3338 0.0000
0.9188 0.5918 0.7548
0.7545 0.7545 0.2460
0.0812 0.4082 0.2452
0.5918 0.9188 0.7548
0.2455 0.2455 0.7540
0.4082 0.0812 0.2452
0.0000 0.0000 0.0000

(3)
Tb6Pr2Er3Pb | Alexandria via LeMat-Bulk | PBE-GGA | relaxed; uncorrected energy = -4.63 eV/atom
1.0
-0.2597 6.0274 1.0208
-1.2019 -3.9276 4.5353
11.7358 -0.7192 1.1090
Tb Pr Er Pb
6 2 3 1
direct
0.9161 0.5896 0.7473
0.7579 0.7579 0.2538
0.0839 0.4104 0.2527
0.5896 0.9161 0.7473
0.2421 0.2421 0.7462
0.4104 0.0839 0.2527
0.3339 0.6661 0.0000
0.6661 0.3339 0.0000
0.1674 0.8326 0.5000
0.8326 0.1674 0.5000
0.5000 0.5000 0.5000
0.0000 0.0000 0.0000

(4)
Pr3Er6Tm2Pb | Alexandria via LeMat-Bulk | PBE-GGA | relaxed; uncorrected energy = -4.57 eV/atom
1.0
-4.3847 1.2951 4.1089
4.1887 -4.3243 1.2416
6.8246 8.9123 2.9397
Pr Er Tm Pb
3 6 2 1
direct
0.1671 0.8329 0.5000
0.8329 0.1671 0.5000
0.5000 0.5000 0.5000
0.9199 0.5914 0.7577
0.7521 0.7521 0.2433
0.0801 0.4086 0.2423
0.5914 0.9199 0.7577
0.2479 0.2479 0.7567
0.4086 0.0801 0.2423
0.3341 0.6659 0.0000
0.6659 0.3341 0.0000
0.0000 0.0000 0.0000

(5)
ErPtPb2 | Alexandria via LeMat-Bulk | PBE-GGA | relaxed; uncorrected energy = -4.49 eV/atom
1.0
3.5619 0.0000 0.0000
1.7810 3.0847 0.0000
1.7810 1.0282 10.2288
Pb Pt Er
2 1 1
direct
0.1026 0.1026 0.6923
0.8974 0.8974 0.3077
0.5000 0.5000 0.5000
0.0000 0.0000 0.0000

(6)
Er5PtPb4 | Alexandria via LeMat-Bulk | PBE-GGA | relaxed; uncorrected energy = -4.81 eV/atom
1.0
6.2057 0.0000 0.0000
3.1028 6.8210 0.0000
3.1028 0.0000 6.8210
Er Pt Pb
5 1 4
direct
0.8836 0.3659 0.8333
0.2495 0.8333 0.6341
0.7169 0.1667 0.3659
0.0828 0.6341 0.1667
0.5823 0.0000 0.0000
0.0741 0.0000 0.0000
0.4001 0.3895 0.7708
0.7897 0.7708 0.6105
0.1709 0.2292 0.3895
0.5604 0.6105 0.2292

Computed spin magnetization, in the same sequence as the records: 0.00 0.00 0.00 0.79 0.00 0.00 μB/f.u..